1.
{"formula": "Er2Pt9Pb", "functional": "GGA-PBE", "state": "optimized geometry", "e_form_ev_per_atom": -0.751, "total_energy_ev_per_cell": -76.2, "lattice_angstrom": [[-2.017, 0.590, -3.524], [0.372, -3.990, -0.881], [-10.720, -2.270, 5.754]], "species": ["Er", "Er", "Pt", "Pt", "Pt", "Pt", "Pt", "Pt", "Pt", "Pt", "Pt", "Pb"], "frac_coords": [[0.000, 0.000, 0.336], [0.000, 0.000, 0.664], [0.500, 0.500, 0.000], [0.500, 0.500, 0.333], [0.500, 0.500, 0.667], [0.500, 0.000, 0.170], [0.500, 0.000, 0.500], [0.500, 0.000, 0.830], [0.000, 0.500, 0.170], [0.000, 0.500, 0.500], [0.000, 0.500, 0.830], [0.000, 0.000, 0.000]]}

=====

2.
{"formula": "Sc3CdP", "functional": "GGA-PBE", "state": "optimized geometry", "e_form_ev_per_atom": 0.501, "total_energy_ev_per_cell": -22.8, "de_polymorph_kcal_per_mol_atoms": 25.06, "lattice_angstrom": [[-5.137, 0.035, -0.595], [0.259, -4.519, -2.500], [-0.537, -2.513, 4.488]], "species": ["Sc", "Sc", "Sc", "P", "Cd"], "frac_coords": [[0.000, 0.500, 0.000], [0.500, 0.000, 0.000], [0.000, 0.000, 0.500], [0.500, 0.500, 0.500], [0.000, 0.000, 0.000]]}

=====

3.
{"formula": "Rb2InTeSe4", "functional": "GGA-PBE", "state": "optimized geometry", "e_form_raw_mev_per_atom": -584, "total_energy_ev_per_cell": -52.9, "lattice_angstrom": [[8.704, 0.024, 0.276], [0.018, 8.704, 0.276], [-4.042, -4.045, 6.429]], "species": ["Rb", "Rb", "Rb", "Rb", "In", "In", "Te", "Te", "Se", "Se", "Se", "Se", "Se", "Se", "Se", "Se"], "frac_coords": [[0.500, 0.000, 0.000], [0.500, 0.000, 0.500], [0.000, 0.000, 0.500], [0.500, 0.500, 0.000], [0.000, 0.500, 0.000], [0.000, 0.500, 0.500], [0.500, 0.500, 0.500], [0.000, 0.000, 0.000], [0.182, 0.719, 0.927], [0.781, 0.318, 0.573], [0.219, 0.682, 0.427], [0.818, 0.281, 0.073], [0.798, 0.754, 0.005], [0.746, 0.702, 0.495], [0.254, 0.298, 0.505], [0.202, 0.246, 0.995]]}

=====

4.
{"formula": "La3GaTc", "functional": "GGA-PBE", "state": "optimized geometry", "e_form_ev_per_atom": -0.067, "total_energy_ev_per_cell": -28.5, "de_polymorph_kcal_per_mol_atoms": 3.82, "lattice_angstrom": [[-0.040, -1.897, -5.081], [-1.370, -4.913, 1.845], [-5.248, 1.297, -0.443]], "species": ["Tc", "Ga", "La", "La", "La"], "frac_coords": [[0.000, 0.000, 0.000], [0.500, 0.500, 0.500], [0.000, 0.500, 0.000], [0.000, 0.000, 0.500], [0.500, 0.000, 0.000]]}

=====

no.,density (g cm⁻³),total magnetic moment (μB per formula unit)
1,18.3,0.00
2,3.3,0.00
3,4.8,0.00
4,6.1,0.00